w:
Entry from Alexandria: a geometry-optimized Ca2BiH2 structure (PBEsol).

abc: 3.798 3.798 13.095
angles: 90.00 90.00 90.00
Space group I4/mmm (No. 139)
Unique sites:
Ca 0.000 0.000 0.156 x4
Bi 0.000 0.000 0.500 x2
H 0.000 0.500 0.250 x4

Calculated values
- calculated volume (Å³/cell) = 188.9


x:
Entry from Alexandria: a geometry-optimized Ca2BiH2 structure (PBEsol).

abc: 7.617 7.617 3.253
angles: 90.00 90.00 90.00
Space group P4/mbm (No. 127)
Unique sites:
Ca 0.146 0.354 0.000 x4
Bi 0.000 0.000 0.500 x2
H 0.095 0.595 0.500 x4

Calculated values
- calculated volume (Å³/cell) = 188.7


Stability summary - winner: w; margin: 38.9 kJ/mol of atoms.